Cs2K2HgBi2 (GGA-PBE, relaxed); total DFT energy (no corrections) = -2.15 eV per atom; crystal system = trigonal
1.0
3.265 1.885 10.148
-3.265 1.885 10.148
0.000 -3.770 10.148
Bi Cs Hg K
2 2 1 2
direct
0.092 0.092 0.092
0.908 0.908 0.908
0.384 0.384 0.384
0.616 0.616 0.616
0.000 0.000 0.000
0.209 0.209 0.209
0.791 0.791 0.791

MoN2 (GGA-PBE, relaxed); total DFT energy (no corrections) = -8.64 eV per atom; crystal system = trigonal
1.0
1.651 0.953 3.112
-1.651 0.953 3.112
0.000 -1.906 3.112
Mo N
1 2
direct
0.000 0.000 0.000
0.239 0.239 0.239
0.761 0.761 0.761

Cu5Ag2 (GGA-PBE, relaxed); formation enthalpy at 0 K = 0.08 eV/atom; total DFT energy (no corrections) = -3.38 eV per atom; crystal system = monoclinic
1.0
-3.099 -2.033 -4.567
-3.909 -3.615 -2.500
-3.031 5.142 2.748
Ag Cu
2 5
direct
0.076 0.076 0.218
0.924 0.924 0.782
0.349 0.349 0.079
0.793 0.793 0.356
0.500 0.500 0.500
0.207 0.207 0.644
0.651 0.651 0.921

Hf2FeOs (GGA-PBE, relaxed); formation enthalpy at 0 K = -0.30 eV/atom; total DFT energy (no corrections) = -10.16 eV per atom; crystal system = orthorhombic
1.0
6.444 0.000 0.000
0.000 8.106 0.000
0.000 0.000 5.182
Fe Hf Os
4 8 4
direct
0.251 0.750 0.001
0.751 0.250 0.499
0.249 0.750 0.501
0.749 0.250 0.999
0.591 0.560 0.250
0.591 0.940 0.250
0.091 0.060 0.250
0.091 0.440 0.250
0.909 0.560 0.750
0.909 0.940 0.750
0.409 0.060 0.750
0.409 0.440 0.750
0.924 0.750 0.249
0.424 0.250 0.251
0.576 0.750 0.749
0.076 0.250 0.751

ScHgPO (GGA-PBE, relaxed); total DFT energy (no corrections) = -5.21 eV per atom; crystal system = tetragonal
1.0
3.831 -3.831 0.000
3.831 3.831 0.000
0.000 0.000 4.674
Hg O P Sc
2 2 2 2
direct
0.250 0.250 0.011
0.750 0.750 0.989
0.750 0.250 0.000
0.250 0.750 0.000
0.750 0.750 0.490
0.250 0.250 0.510
0.750 0.250 0.500
0.250 0.750 0.500

AsIrAuO (GGA-PBE, relaxed); total DFT energy (no corrections) = -5.46 eV per atom; crystal system = orthorhombic
1.0
-1.753 -3.355 0.071
5.845 -3.068 -0.734
0.586 -0.190 5.460
As Au Ir O
2 2 2 2
direct
0.000 0.759 0.404
0.000 0.241 0.904
0.500 0.510 0.432
0.500 0.490 0.932
0.000 0.141 0.472
0.000 0.859 0.972
0.500 0.126 0.446
0.500 0.874 0.946

Ho5Te6 (GGA-PBE, relaxed); total DFT energy (no corrections) = -5.16 eV per atom; crystal system = monoclinic
1.0
3.735 -6.438 0.000
3.735 6.438 0.000
-2.494 0.000 7.016
Ho Te
5 6
direct
0.664 0.336 0.000
0.336 0.664 0.000
0.829 0.171 0.500
0.500 0.500 0.500
0.171 0.829 0.500
0.403 0.080 0.242
0.080 0.403 0.242
0.759 0.759 0.246
0.241 0.241 0.754
0.920 0.597 0.758
0.597 0.920 0.758

BaNdCu2Sb2 (GGA-PBE, relaxed); total DFT energy (no corrections) = -4.45 eV per atom; crystal system = trigonal
1.0
4.503 0.000 0.000
-2.252 3.900 0.000
0.000 0.000 9.053
Ba Cu Nd Sb
1 2 1 2
direct
0.000 0.000 0.750
0.333 0.667 0.047
0.667 0.333 0.454
0.000 0.000 0.250
0.667 0.333 0.019
0.333 0.667 0.481

BiB4Mo (GGA-PBE, relaxed); total DFT energy (no corrections) = -6.75 eV per atom; crystal system = hexagonal
1.0
3.048 0.000 0.000
-1.524 2.639 0.000
0.000 0.000 8.718
B Bi Mo
4 1 1
direct
0.667 0.333 0.312
0.333 0.667 0.312
0.667 0.333 0.688
0.333 0.667 0.688
0.000 0.000 0.000
0.000 0.000 0.500

TcPPbO (GGA-PBE, relaxed); total DFT energy (no corrections) = -6.65 eV per atom; crystal system = tetragonal
1.0
4.122 0.000 0.000
0.000 4.122 0.000
0.000 0.000 9.505
O P Pb Tc
2 2 2 2
direct
0.500 0.000 0.000
0.000 0.500 0.000
0.500 0.500 0.388
0.000 0.000 0.612
0.000 0.000 0.122
0.500 0.500 0.878
0.500 0.000 0.500
0.000 0.500 0.500

Nd2NiN3 (GGA-PBE, relaxed); total DFT energy (no corrections) = -7.51 eV per atom; crystal system = orthorhombic
1.0
-1.787 1.861 6.265
1.787 -1.861 6.265
1.787 1.861 -6.265
N Nd Ni
3 2 1
direct
0.160 0.160 0.000
0.840 0.840 0.000
0.500 0.000 0.500
0.353 0.353 0.000
0.647 0.647 0.000
0.000 0.000 0.000

Al3Ni2 (GGA-PBE, relaxed); total DFT energy (no corrections) = -4.64 eV per atom; crystal system = tetragonal
1.0
-8.405 -3.383 1.529
1.615 0.078 9.045
-1.725 4.408 0.270
Al Ni
18 12
direct
0.561 0.218 0.000
0.782 0.439 0.000
0.500 0.500 0.000
0.218 0.561 0.000
0.439 0.782 0.000
0.818 0.182 0.249
0.182 0.818 0.249
0.318 0.318 0.251
0.682 0.682 0.251
0.000 0.000 0.500
0.282 0.061 0.500
0.061 0.282 0.500
0.939 0.718 0.500
0.718 0.939 0.500
0.318 0.318 0.749
0.682 0.682 0.749
0.818 0.182 0.751
0.182 0.818 0.751
0.367 0.038 0.000
0.099 0.099 0.000
0.038 0.367 0.000
0.962 0.633 0.000
0.901 0.901 0.000
0.633 0.962 0.000
0.538 0.133 0.500
0.599 0.401 0.500
0.867 0.462 0.500
0.133 0.538 0.500
0.401 0.599 0.500
0.462 0.867 0.500

Number 2 is which compound?
MoN2

What is the total DFT energy (no corrections) in the sixth record?
-5.46 eV per atom

Among the records above, which one has the highest total DFT energy (no corrections)?
Cs2K2HgBi2

Please write out number 7 again, unchanged.
Ho5Te6 (GGA-PBE, relaxed); total DFT energy (no corrections) = -5.16 eV per atom; crystal system = monoclinic
1.0
3.735 -6.438 0.000
3.735 6.438 0.000
-2.494 0.000 7.016
Ho Te
5 6
direct
0.664 0.336 0.000
0.336 0.664 0.000
0.829 0.171 0.500
0.500 0.500 0.500
0.171 0.829 0.500
0.403 0.080 0.242
0.080 0.403 0.242
0.759 0.759 0.246
0.241 0.241 0.754
0.920 0.597 0.758
0.597 0.920 0.758